Record 1
Here is crystalline Sc2AlRu4 at its relaxed geometry from Alexandria. Energies are from PBE-GGA.

E_tot = -7.659 eV per atom
formation energy = -0.01 eV/atom
size of the total moment = 0.00 μB/cell

```
Sc2AlRu4
1.0
4.957 -0.923 -2.308
-2.738 4.752 -0.826
-0.532 0.923 5.442
Ru Sc Al
4 2 1
direct
0.000 0.500 0.000
0.000 0.000 0.500
0.500 0.500 0.500
0.500 0.000 0.000
0.500 0.000 0.500
0.500 0.500 0.000
0.000 0.000 0.000
```

---

Record 2
Here is crystalline ThZnCu at its relaxed geometry from Alexandria. Energies are from PBE-GGA.

E_tot = -4.497 eV per atom
formation energy = -0.23 eV/atom
size of the total moment = 0.00 μB/cell

```
ThZnCu
1.0
4.487 0.000 0.000
2.244 5.095 0.127
2.244 0.510 5.332
Th Cu Zn
2 2 2
direct
0.527 0.231 0.715
0.473 0.769 0.285
0.834 0.632 0.701
0.166 0.368 0.299
0.833 0.211 0.123
0.167 0.789 0.877
```

---

Record 3
Here is crystalline KTcO3 at its relaxed geometry from Alexandria. Energies are from PBE-GGA.

E_tot = -6.877 eV per atom
E_form (uncorrected) = -1609 meV per atom
size of the total moment = 0.00 μB/cell

```
KTcO3
1.0
19.411 0.000 1.202
0.000 5.124 0.000
-6.406 0.000 3.548
O K Tc
12 4 4
direct
0.983 0.280 0.652
0.860 0.566 0.639
0.105 0.937 0.161
0.895 0.063 0.839
0.640 0.066 0.861
0.360 0.934 0.139
0.605 0.563 0.661
0.395 0.437 0.339
0.017 0.720 0.348
0.483 0.220 0.152
0.140 0.434 0.361
0.517 0.780 0.848
0.851 0.754 0.256
0.149 0.246 0.744
0.351 0.746 0.756
0.649 0.254 0.244
0.501 0.782 0.569
0.499 0.218 0.431
0.001 0.718 0.069
0.999 0.282 0.931
```